# 1
A plane-wave DFT calculation with PBE was carried out for a geometry-optimized LiCuSi2 structure.

```
LiCuSi2
1.0
2.6466 0.0704 0.0000
0.0112 2.6475 0.0000
0.0000 0.0000 7.7562
Cu Li Si
1 1 2
Direct
0.0000 0.0000 0.4884 Cu
0.5000 0.5000 0.7452 Li
0.0000 0.0000 0.0031 Si
0.5000 0.5000 0.2633 Si
```

Calculated values
Size of the total moment in μB/f.u.: 0.00
Space-group type: Cmm2 (35)
Distance to the lowest polymorph of the same formula in meV per atom: 177
N(E_F) in states/eV/f.u.: 2.0

---

# 2
A plane-wave DFT calculation with PBE was carried out for a geometry-optimized LiCuSi2 structure.

```
LiCuSi2
1.0
4.5970 -0.0021 0.0002
1.5758 4.3184 -0.0002
-3.0872 -2.1570 2.6360
Cu Li Si
1 1 2
Direct
0.5000 0.5000 0.0000 Cu
0.2500 0.7500 0.5000 Li
0.0000 0.0000 0.0000 Si
0.7500 0.2500 0.5000 Si
```

Calculated values
Size of the total moment in μB/f.u.: 0.00
Space-group type: I-4m2 (119)
Distance to the lowest polymorph of the same formula in meV per atom: 48
N(E_F) in states/eV/f.u.: 1.3

---

# 3
A plane-wave DFT calculation with PBE was carried out for a geometry-optimized Li2Cu6Si structure.

```
Li2Cu6Si
1.0
5.5464 -0.0225 -0.0130
0.0354 5.0520 0.0081
0.0354 2.5240 4.3763
Li Cu Si
2 6 1
Direct
0.8801 0.6670 0.6670 Li
0.1199 0.3330 0.3330 Li
0.3225 0.3449 0.8267 Cu
0.3241 0.8267 0.8267 Cu
0.3225 0.8267 0.3449 Cu
0.6775 0.6551 0.1733 Cu
0.6759 0.1733 0.1733 Cu
0.6775 0.1733 0.6551 Cu
0.0000 0.0000 0.0000 Si
```

Calculated values
Size of the total moment in μB/f.u.: 0.00
Space-group type: C2/m (12)
Distance to the lowest polymorph of the same formula in meV per atom: 0
N(E_F) in states/eV/f.u.: 1.1

---

# 4
A plane-wave DFT calculation with PBE was carried out for a geometry-optimized Li3Cu4Si structure.

```
Li3Cu4Si
1.0
5.4410 -0.2690 -0.7312
-2.9136 4.6030 0.7312
-2.9272 -1.1970 4.4956
Li Cu Si
3 4 1
Direct
0.5956 0.2523 0.8479 Li
0.8332 0.0000 0.8332 Li
0.5956 0.7477 0.3432 Li
0.1063 0.7493 0.8556 Cu
0.1063 0.2507 0.3570 Cu
0.5605 0.2481 0.3124 Cu
0.0643 0.7519 0.3124 Cu
0.2894 0.5000 0.7894 Si
```

Calculated values
Size of the total moment in μB/f.u.: 0.00
Space-group type: Imm2 (44)
Final energy in eV/f.u.: -27.6
N(E_F) in states/eV/f.u.: 2.0

---

# 5
A plane-wave DFT calculation with PBE was carried out for a geometry-optimized LiCu3Si3 structure.

```
LiCu3Si3
1.0
-4.9309 3.5251 -2.3050
-1.1020 -4.5051 -4.5324
-4.0650 -3.0546 4.0246
Si Cu Li
6 6 2
Direct
0.0000 0.2500 0.5000 Si
0.0000 0.7500 0.5000 Si
0.5000 0.0000 0.7500 Si
0.7500 0.5000 0.0000 Si
0.5000 0.0000 0.2500 Si
0.2500 0.5000 0.0000 Si
0.2500 0.0000 0.5000 Cu
0.0000 0.5000 0.2500 Cu
0.5000 0.7500 0.0000 Cu
0.7500 0.0000 0.5000 Cu
0.0000 0.5000 0.7500 Cu
0.5000 0.2500 0.0000 Cu
0.5000 0.5000 0.5000 Li
0.0000 0.0000 0.0000 Li
```

Calculated values
Size of the total moment in μB/f.u.: 0.00
Space-group type: Pm-3n (223)
Final energy in eV/f.u.: -27.7
N(E_F) in states/eV/f.u.: 3.0

---

# 6
A plane-wave DFT calculation with PBE was carried out for a geometry-optimized LiCuSi structure.

```
LiCuSi
1.0
4.0587 0.0000 0.0000
-2.0293 3.6476 -0.5944
0.0000 0.0848 5.5360
Li Cu Si
2 2 2
Direct
0.3559 0.7118 0.6142 Li
0.6441 0.2882 0.3858 Li
0.2773 0.5545 0.1459 Cu
0.7227 0.4455 0.8541 Cu
0.0440 0.0880 0.7824 Si
0.9560 0.9120 0.2176 Si
```

Calculated values
Size of the total moment in μB/f.u.: 0.00
Space-group type: C2/m (12)
Final energy in eV/f.u.: -11.9
N(E_F) in states/eV/f.u.: 1.0

---

# 7
A plane-wave DFT calculation with PBE was carried out for a geometry-optimized LiCu4Si structure.

```
LiCu4Si
1.0
-0.6793 1.2224 3.7650
3.4663 -3.4115 1.7330
5.7797 4.5617 -2.5805
Li Cu Si
2 8 2
Direct
0.1161 0.2500 0.2321 Li
0.8839 0.7500 0.7679 Li
0.5000 0.5000 0.0000 Cu
0.5000 0.0000 0.0000 Cu
0.6634 0.9847 0.3269 Cu
0.3366 0.0153 0.6731 Cu
0.3366 0.4847 0.6731 Cu
0.6634 0.5153 0.3269 Cu
0.0587 0.7500 0.1173 Cu
0.9413 0.2500 0.8827 Cu
0.2129 0.7500 0.4259 Si
0.7871 0.2500 0.5741 Si
```

Calculated values
Size of the total moment in μB/f.u.: 0.00
Space-group type: Cmcm (63)
Distance to the lowest polymorph of the same formula in meV per atom: 34
N(E_F) in states/eV/f.u.: 1.9

---

# 8
A plane-wave DFT calculation with PBE was carried out for a geometry-optimized LiCu10Si2 structure.

```
LiCu10Si2
1.0
-3.6522 2.9694 1.2311
-5.6134 -1.9576 -2.3865
-2.7304 -1.6978 5.4403
Li Cu Si
1 10 2
Direct
0.0000 0.0000 0.0000 Li
0.3451 0.6499 0.6571 Cu
0.6549 0.3501 0.3429 Cu
0.9948 0.3502 0.6565 Cu
0.0052 0.6498 0.3435 Cu
0.0000 0.0000 0.5000 Cu
0.5000 0.0000 0.5000 Cu
0.2821 0.2197 0.2159 Cu
0.7179 0.7803 0.7841 Cu
0.5025 0.7801 0.2161 Cu
0.4975 0.2199 0.7839 Cu
0.0000 0.5000 0.0000 Si
0.5000 0.5000 0.0000 Si
```

Calculated values
Size of the total moment in μB/f.u.: 0.00
Space-group type: P-1 (2)
Final energy in eV/f.u.: -53.8
N(E_F) in states/eV/f.u.: 5.0

---

# 9
A plane-wave DFT calculation with PBE was carried out for a geometry-optimized Li2Cu2Si structure.

```
Li2Cu2Si
1.0
6.0678 0.0000 0.0000
0.0000 6.0678 0.0000
0.0000 0.0000 3.9188
Si Cu Li
2 4 4
Direct
0.0000 0.0000 0.0000 Si
0.5000 0.5000 0.0000 Si
0.3561 0.8561 0.0000 Cu
0.8561 0.6439 0.0000 Cu
0.6439 0.1439 0.0000 Cu
0.1439 0.3561 0.0000 Cu
0.1688 0.6688 0.5000 Li
0.6688 0.8312 0.5000 Li
0.8312 0.3312 0.5000 Li
0.3312 0.1688 0.5000 Li
```

Calculated values
Size of the total moment in μB/f.u.: 0.00
Space-group type: P4/mbm (127)
Distance to the lowest polymorph of the same formula in meV per atom: 171
N(E_F) in states/eV/f.u.: 1.5

---

# 10
A plane-wave DFT calculation with PBE was carried out for a geometry-optimized LiCuSi structure.

```
LiCuSi
1.0
-2.6683 -0.5008 4.1646
6.3209 -2.7454 0.7525
1.7358 4.4477 1.6469
Cu Si Li
4 4 4
Direct
0.5693 0.1385 0.6880 Cu
0.9307 0.8615 0.1880 Cu
0.4307 0.8615 0.3120 Cu
0.0693 0.1385 0.8120 Cu
0.3461 0.1922 0.2500 Si
0.1539 0.8078 0.7500 Si
0.6539 0.8078 0.7500 Si
0.8461 0.1922 0.2500 Si
0.7631 0.5262 0.4421 Li
0.7369 0.4738 0.9421 Li
0.2369 0.4738 0.5579 Li
0.2631 0.5262 0.0579 Li
```

Calculated values
Size of the total moment in μB/f.u.: 0.00
Space-group type: Cmce (64)
Final energy in eV/f.u.: -11.5
N(E_F) in states/eV/f.u.: 0.7

---

# 11
A plane-wave DFT calculation with PBE was carried out for a geometry-optimized LiCuSi2 structure.

```
LiCuSi2
1.0
-4.1353 -0.8774 -0.4271
-2.0730 -2.0286 3.1049
-2.8662 2.0768 2.3505
Cu Li Si
1 1 2
Direct
0.5000 0.5000 0.5000 Cu
0.7500 0.7500 0.7500 Li
0.0000 0.0000 0.0000 Si
0.2500 0.2500 0.2500 Si
```

Calculated values
Size of the total moment in μB/f.u.: 0.00
Space-group type: F-43m (216)
Distance to the lowest polymorph of the same formula in meV per atom: 167
N(E_F) in states/eV/f.u.: 1.1

---

# 12
A plane-wave DFT calculation with PBE was carried out for a geometry-optimized LiCuSi structure.

```
LiCuSi
1.0
-2.7239 2.1801 1.8877
-3.8580 -0.7667 -0.5135
-2.1160 -1.5922 2.9535
Cu Li Si
1 1 1
Direct
0.2500 0.2500 0.2500 Cu
0.0000 0.0000 0.0000 Li
0.5000 0.5000 0.5000 Si
```

Calculated values
Size of the total moment in μB/f.u.: 0.00
Space-group type: F-43m (216)
Final energy in eV/f.u.: -11.4
N(E_F) in states/eV/f.u.: 2.7

---

# 13
A plane-wave DFT calculation with PBE was carried out for a geometry-optimized LiCu2Si structure.

```
LiCu2Si
1.0
-3.0481 -1.4522 -2.2742
-3.4590 -1.2157 1.7689
-3.4043 2.1814 -0.4736
Si Cu Li
1 2 1
Direct
0.0000 0.0000 0.0000 Si
0.2500 0.2500 0.2500 Cu
0.7500 0.7500 0.7500 Cu
0.5000 0.5000 0.5000 Li
```

Calculated values
Size of the total moment in μB/f.u.: 0.00
Space-group type: Fm-3m (225)
Final energy in eV/f.u.: -16.4
N(E_F) in states/eV/f.u.: 1.0

---

# 14
A plane-wave DFT calculation with PBE was carried out for a geometry-optimized LiCuSi structure.

```
LiCuSi
1.0
-3.4573 -1.5232 -1.6767
0.0553 -3.2926 2.8562
-4.1827 1.1408 2.4885
Li Cu Si
2 2 2
Direct
0.4212 0.2331 0.1566 Li
0.5788 0.7669 0.8434 Li
0.7409 0.3142 0.5188 Cu
0.2591 0.6858 0.4812 Cu
0.8806 0.8443 0.2381 Si
0.1194 0.1557 0.7619 Si
```

Calculated values
Size of the total moment in μB/f.u.: 0.00
Space-group type: P-1 (2)
Final energy in eV/f.u.: -12.0
N(E_F) in states/eV/f.u.: 0.6

---

# 15
A plane-wave DFT calculation with PBE was carried out for a geometry-optimized LiCu2Si structure.

```
LiCu2Si
1.0
4.8034 -0.0163 -0.0053
-1.9847 4.3742 -0.0053
0.5303 0.8199 2.3503
Cu Li Si
2 1 1
Direct
0.0000 0.0000 0.0000 Cu
0.5000 0.5000 0.0000 Cu
0.5000 0.0000 0.5000 Li
0.0000 0.5000 0.5000 Si
```

Calculated values
Size of the total moment in μB/f.u.: 0.00
Space-group type: C2/m (12)
Final energy in eV/f.u.: -15.7
N(E_F) in states/eV/f.u.: 1.4

---

# 16
A plane-wave DFT calculation with PBE was carried out for a geometry-optimized LiCu2Si structure.

```
LiCu2Si
1.0
8.5275 -0.0071 -0.0042
8.1126 2.6277 -0.0042
8.1126 1.2776 2.2962
Cu Li Si
2 1 1
Direct
0.0015 0.0015 0.0015 Cu
0.2524 0.2524 0.2524 Cu
0.4994 0.4994 0.4994 Li
0.7467 0.7467 0.7467 Si
```

Calculated values
Size of the total moment in μB/f.u.: 0.00
Space-group type: R3m (160)
Final energy in eV/f.u.: -15.5
N(E_F) in states/eV/f.u.: 1.8

---

# 17
A plane-wave DFT calculation with PBE was carried out for a geometry-optimized LiCu2Si2 structure.

```
LiCu2Si2
1.0
-4.1606 -2.2184 -1.4264
-2.9387 -3.2868 3.4574
-3.4032 5.1004 1.9682
Li Cu Si
2 4 4
Direct
0.7500 0.7493 0.2485 Li
0.2500 0.2507 0.7515 Li
0.2499 0.7499 0.0471 Cu
0.7503 0.2501 0.5472 Cu
0.7501 0.2501 0.9529 Cu
0.2496 0.7499 0.4528 Cu
0.4168 0.3434 0.2503 Si
0.9162 0.8439 0.7503 Si
0.0838 0.1561 0.2497 Si
0.5832 0.6566 0.7497 Si
```

Calculated values
Size of the total moment in μB/f.u.: 0.00
Space-group type: P-1 (2)
Final energy in eV/f.u.: -21.4
N(E_F) in states/eV/f.u.: 1.1

---

# 18
A plane-wave DFT calculation with PBE was carried out for a geometry-optimized LiCuSi2 structure.

```
LiCuSi2
1.0
4.3758 0.0000 0.0000
0.0000 2.6368 -0.0028
0.0000 0.0077 4.8332
Cu Li Si
1 1 2
Direct
0.0000 0.2497 0.5050 Cu
0.5000 0.7495 0.7442 Li
0.0000 0.2506 0.9955 Si
0.5000 0.2502 0.2554 Si
```

Calculated values
Size of the total moment in μB/f.u.: 0.00
Space-group type: Pmm2 (25)
Distance to the lowest polymorph of the same formula in meV per atom: 21
N(E_F) in states/eV/f.u.: 1.0

---

# 19
A plane-wave DFT calculation with PBE was carried out for a geometry-optimized Li12Cu6Si structure.

```
Li12Cu6Si
1.0
-3.7179 0.8549 -5.3655
-4.2109 -4.6594 1.9749
-3.7321 4.4536 3.0950
Li Cu Si
12 6 1
Direct
0.5779 0.1895 0.4741 Li
0.1895 0.4741 0.5779 Li
0.4741 0.5779 0.1895 Li
0.4221 0.8105 0.5259 Li
0.8105 0.5259 0.4221 Li
0.5259 0.4221 0.8105 Li
0.9633 0.8517 0.6215 Li
0.3785 0.0367 0.1483 Li
0.1483 0.3785 0.0367 Li
0.0367 0.1483 0.3785 Li
0.6215 0.9633 0.8517 Li
0.8517 0.6215 0.9633 Li
0.2529 0.1096 0.7454 Cu
0.8904 0.2546 0.7471 Cu
0.2546 0.7471 0.8904 Cu
0.7471 0.8904 0.2546 Cu
0.1096 0.7454 0.2529 Cu
0.7454 0.2529 0.1096 Cu
0.0000 0.0000 0.0000 Si
```

Calculated values
Size of the total moment in μB/f.u.: 0.00
Space-group type: R-3 (148)
Final energy in eV/f.u.: -54.0
N(E_F) in states/eV/f.u.: 5.7

---

# 20
A plane-wave DFT calculation with PBE was carried out for a geometry-optimized LiCuSi structure.

```
LiCuSi
1.0
2.6887 0.0000 0.0000
-1.3443 2.3285 0.0000
0.0000 0.0000 6.3776
Cu Li Si
1 1 1
Direct
0.0000 0.0000 0.9880 Cu
0.6667 0.3333 0.3335 Li
0.3333 0.6667 0.6785 Si
```

Calculated values
Size of the total moment in μB/f.u.: 0.00
Space-group type: P3m1 (156)
Final energy in eV/f.u.: -11.4
N(E_F) in states/eV/f.u.: 0.8